DFT (PBE-GGA) results for a relaxed structure of ThTaNbGe2.

Computed properties:
Its volume is 20.505 Å³/atom. The uncorrected energy is -8.26 eV per atom. The value obtained for the density is 10.55 g/cm³. For the formation energy, the calculation gives -0.54 eV per atom.

Cell: 4.132 4.132 12.008 Å, 90.00 90.00 90.00°
Space group I-4m2 (No. 119)
Asymmetric unit:
Th: 0.000 0.000 0.000 [2 per cell]
Ta: 0.000 0.500 0.750 [2 per cell]
Nb: 0.000 0.500 0.250 [2 per cell]
Ge: 0.000 0.000 0.394 [4 per cell]